# 1
Material: CaTaC
Method: DFT, PBE
State: relaxed

Geometry as POSCAR:
```
CaTaC
1.0
10.7258 0.0000 0.0000
0.0000 3.2405 0.0000
-0.5969 0.0000 6.1323
Ca Ta C
4 4 4
Direct
0.0000 0.0000 0.0000
0.2469 0.0000 0.7652
0.5000 0.5000 0.0000
0.7469 0.5000 0.7652
0.2532 0.5000 0.3199
0.4943 0.0000 0.4776
0.7532 0.0000 0.3199
0.9943 0.5000 0.4776
0.1324 0.0000 0.3716
0.3934 0.5000 0.6027
0.6324 0.5000 0.3716
0.8934 0.0000 0.6027
```

Summary:
* total magnetization: 0.00 μB per formula unit
* DOS(E_F): 0.73 states/eV/atom
* space-group type: Cm (8)
* final energy: -7.71 eV per atom
* formation energy: -14 meV per atom
* distance to the lowest polymorph of the same formula: 89 meV/atom



# 2
Material: CaTaC
Method: DFT, PBE
State: relaxed

Geometry as POSCAR:
```
CaTaC
1.0
5.5953 0.0000 0.0000
0.0000 3.1620 0.0000
0.0000 0.0000 6.1518
Ca Ta C
2 2 2
Direct
0.2500 0.0000 0.1341
0.7500 0.0000 0.8659
0.2500 0.5000 0.5913
0.7500 0.5000 0.4087
0.0000 0.0000 0.5000
0.5000 0.0000 0.5000
```

Summary:
* total magnetization: 0.00 μB per formula unit
* DOS(E_F): 0.76 states/eV/atom
* space-group type: Pmma (51)
* final energy: -7.76 eV per atom
* formation energy: -63 meV per atom
* distance to the lowest polymorph of the same formula: 40 meV/atom



> DOS(E_F) of number 2 (CaTaC)?

0.76 states/eV/atom



Repeat the second record exactly.
Material: CaTaC
Method: DFT, PBE
State: relaxed

Geometry as POSCAR:
```
CaTaC
1.0
5.5953 0.0000 0.0000
0.0000 3.1620 0.0000
0.0000 0.0000 6.1518
Ca Ta C
2 2 2
Direct
0.2500 0.0000 0.1341
0.7500 0.0000 0.8659
0.2500 0.5000 0.5913
0.7500 0.5000 0.4087
0.0000 0.0000 0.5000
0.5000 0.0000 0.5000
```

Summary:
* total magnetization: 0.00 μB per formula unit
* DOS(E_F): 0.76 states/eV/atom
* space-group type: Pmma (51)
* final energy: -7.76 eV per atom
* formation energy: -63 meV per atom
* distance to the lowest polymorph of the same formula: 40 meV/atom